This record from the Alexandria database describes crystalline ZrCrRu at its relaxed geometry. The functional is PBE-GGA.

Results
Crystal system = orthorhombic
Volume = 94.9 Å³ per cell
Space group = No. 63
DOS(E_F) = 0.909 states/eV per atom
E_tot = -55.5 eV per cell
Energy of formation from the pure elements = -0.29 eV per formula unit

Cell lengths 6.914, 6.914, 4.447 Å; angles 90.00, 90.00, 153.49 degrees
Atoms (fractional coordinates):
Zr1 0.090 0.910 0.750
Zr2 0.910 0.090 0.250
Cr1 0.245 0.755 0.250
Cr2 0.755 0.245 0.750
Ru1 0.409 0.591 0.750
Ru2 0.591 0.409 0.250